First-principles (GGA-PBE) data for crystalline Lu3Mn at its relaxed geometry, as listed in Alexandria via LeMat-Bulk.

Unit cell a=4.5997 b=4.6732 c=4.6746 alpha=90.00 beta=90.00 gamma=90.00
Closest atoms and distances in Å follow each position.
Positions (direct):
Lu 0.0000 0.0000 0.0000  8 Lu 3.27-3.31, 4 Mn 3.28
Lu 0.0000 0.5000 0.4984  4 Mn 3.26-3.29, 8 Lu 3.28-3.31
Lu 0.5000 0.0000 0.4984  8 Lu 3.27-3.28, 4 Mn 3.29-3.32
Mn 0.5000 0.5000 0.0031  12 Lu 3.26-3.32

Results
Formation enthalpy at 0 K   204 meV per atom
Energy   -5.48 eV per atom
SG   Pmm2, No. 25